PBE-GGA ScRe2Ni, relaxed; N(E_F) = 5.37 states/eV/cell; space-group type = Fm-3m, No. 225; relative energy among the computed polymorphs = 52.0 kJ per mole of atoms; DFT formation energy = 0.46 eV per atom
1.0
0.000 3.102 3.102
3.102 0.000 3.102
3.102 3.102 0.000
Sc Re Ni
1 2 1
direct
0.000 0.000 0.000 Sc
0.250 0.250 0.250 Re
0.750 0.750 0.750 Re
0.500 0.500 0.500 Ni

---

PBE-GGA Rb2FeHBr6, relaxed; N(E_F) = 2.96 states/eV/cell; space-group type = I4/mmm, No. 139
1.0
-1.514 2.420 -6.474
-6.331 -3.145 0.305
-6.199 4.445 -0.755
Br Rb Fe H
6 2 1 1
direct
0.738 0.262 0.000 Br
0.262 0.738 0.000 Br
0.738 0.738 0.000 Br
0.262 0.262 0.000 Br
0.214 0.214 0.571 Br
0.786 0.786 0.429 Br
0.250 0.750 0.500 Rb
0.750 0.250 0.500 Rb
0.000 0.000 0.000 Fe
0.500 0.500 0.000 H

---

PBE-GGA Li4Ga3Au2, relaxed; N(E_F) = 3.00 states/eV/cell; space-group type = C2/m, No. 12; DFT formation energy = -0.40 eV per atom
1.0
-3.233 2.319 0.967
-3.603 0.045 -3.482
-4.829 -6.840 0.257
Ga Au Li
3 2 4
direct
0.000 0.000 0.000 Ga
0.661 0.678 0.556 Ga
0.339 0.322 0.444 Ga
0.679 0.642 0.234 Au
0.321 0.358 0.766 Au
0.336 0.327 0.106 Li
0.004 0.992 0.326 Li
0.664 0.673 0.894 Li
0.996 0.008 0.674 Li

---

PBE-GGA Mg2AgSe, relaxed; N(E_F) = 3.25 states/eV/cell; uncorrected formation energy = -325 meV per atom; space-group type = I-42d, No. 122
1.0
-5.331 -2.634 -3.891
4.631 -3.940 -3.678
-0.774 -6.110 -1.293
Se Ag Mg
2 2 4
direct
0.500 0.500 0.000 Se
0.250 0.750 0.500 Se
0.000 0.000 0.000 Ag
0.750 0.250 0.500 Ag
0.606 0.125 0.250 Mg
0.144 0.625 0.250 Mg
0.375 0.394 0.750 Mg
0.875 0.856 0.750 Mg

---

PBE-GGA Ho2ScTl4, relaxed; N(E_F) = 6.03 states/eV/cell; space-group type = I4/mmm, No. 139; DFT formation energy = -0.20 eV per atom
1.0
-4.668 3.127 3.017
-1.420 -6.166 -0.790
5.419 0.039 3.361
Tl Sc Ho
4 1 2
direct
0.000 0.000 0.500 Tl
0.500 0.000 0.000 Tl
0.000 0.500 0.000 Tl
0.500 0.500 0.500 Tl
0.000 0.000 0.000 Sc
0.500 0.000 0.500 Ho
0.500 0.500 0.000 Ho

---

PBE-GGA Ga2Ir2W, relaxed; N(E_F) = 4.47 states/eV/cell; space-group type = P4/mbm, No. 127; relative energy among the computed polymorphs = 10.8 kJ per mole of atoms; DFT formation energy = 0.03 eV per atom
1.0
-2.803 -6.741 -0.124
6.685 -2.797 0.890
-0.340 0.089 2.838
Ga Ir W
4 4 2
direct
0.338 0.162 0.500 Ga
0.838 0.338 0.500 Ga
0.162 0.662 0.500 Ga
0.662 0.838 0.500 Ga
0.363 0.863 0.000 Ir
0.137 0.363 0.000 Ir
0.863 0.637 0.000 Ir
0.637 0.137 0.000 Ir
0.000 0.000 0.000 W
0.500 0.500 0.000 W

---

PBE-GGA ZnGaHRh2, relaxed; N(E_F) = 1.06 states/eV/cell; space-group type = P4/mmm, No. 123; relative energy among the computed polymorphs = 11.0 kJ per mole of atoms
1.0
-2.517 -0.567 -3.086
-2.456 -2.106 2.390
-1.774 3.070 0.883
Rh H Ga Zn
2 1 1 1
direct
0.500 0.000 0.000 Rh
0.000 0.500 0.000 Rh
0.000 0.000 0.000 H
0.000 0.000 0.500 Ga
0.500 0.500 0.500 Zn

---

PBE-GGA UCo4Si, relaxed; N(E_F) = 7.15 states/eV/cell; uncorrected formation energy = -300 meV per atom; space-group type = Cmcm, No. 63; relative energy among the computed polymorphs = 0.0 kJ per mole of atoms
1.0
3.695 0.000 -0.758
0.000 5.216 0.000
-0.267 0.000 8.089
U Co Si
2 8 2
direct
0.592 0.750 0.183 U
0.408 0.250 0.817 U
0.000 0.000 0.000 Co
0.578 0.250 0.157 Co
0.166 0.013 0.332 Co
0.422 0.750 0.843 Co
0.000 0.500 0.000 Co
0.166 0.487 0.332 Co
0.834 0.513 0.668 Co
0.834 0.987 0.668 Co
0.279 0.750 0.559 Si
0.721 0.250 0.441 Si

---

PBE-GGA Ca3ErTh2Bi6, relaxed; N(E_F) = 5.91 states/eV/cell; space-group type = C2/m, No. 12; DFT formation energy = -0.74 eV per atom
1.0
7.956 -0.002 0.000
-3.978 6.891 0.000
-1.328 -2.299 7.517
Er Th Bi Ca
1 2 6 3
direct
0.000 0.000 0.000 Er
0.334 0.666 0.000 Th
0.666 0.334 0.000 Th
0.246 0.246 0.754 Bi
0.754 0.754 0.246 Bi
0.081 0.409 0.243 Bi
0.919 0.591 0.757 Bi
0.409 0.081 0.243 Bi
0.591 0.919 0.757 Bi
0.830 0.170 0.500 Ca
0.170 0.830 0.500 Ca
0.500 0.500 0.500 Ca

---

PBE-GGA Cr2InBr, relaxed; N(E_F) = 2.45 states/eV/cell; uncorrected formation energy = 603 meV per atom; space-group type = Pmmm, No. 47; relative energy among the computed polymorphs = 37.4 kJ per mole of atoms
1.0
3.348 0.000 0.000
0.000 6.015 0.000
0.000 0.000 4.492
Cr Br In
2 1 1
direct
0.000 0.000 0.000 Cr
0.500 0.500 0.000 Cr
0.000 0.500 0.500 Br
0.500 0.000 0.500 In

---

PBE-GGA SmI4, relaxed; N(E_F) = 6.58 states/eV/cell; uncorrected formation energy = -807 meV per atom; space-group type = Pm-3m, No. 221
1.0
6.144 0.000 0.000
0.000 6.144 0.000
0.000 0.000 6.144
I Sm
4 1
direct
0.500 0.000 0.500 I
0.500 0.500 0.000 I
0.000 0.000 0.000 I
0.000 0.500 0.500 I
0.500 0.500 0.500 Sm

---

PBE-GGA Dy2Zn3Hg2, relaxed; N(E_F) = 3.94 states/eV/cell; space-group type = Cmmm, No. 65; relative energy among the computed polymorphs = 14.1 kJ per mole of atoms; DFT formation energy = -0.20 eV per atom
1.0
3.345 0.000 0.000
0.000 3.458 0.000
0.000 -1.729 13.237
Zn Hg Dy
3 2 2
direct
0.000 0.000 0.000 Zn
0.500 0.553 0.106 Zn
0.500 0.447 0.894 Zn
0.500 0.704 0.409 Hg
0.500 0.296 0.591 Hg
0.000 0.125 0.249 Dy
0.000 0.875 0.751 Dy

---

PBE-GGA Sc6GePd12, relaxed; N(E_F) = 9.44 states/eV/cell; space-group type = R-3, No. 148; DFT formation energy = -0.75 eV per atom
1.0
6.918 0.268 0.321
-0.784 6.879 0.321
-0.784 -0.913 6.826
Pd Sc Ge
12 6 1
direct
0.120 0.357 0.037 Pd
0.963 0.880 0.643 Pd
0.880 0.643 0.963 Pd
0.454 0.526 0.208 Pd
0.037 0.120 0.357 Pd
0.792 0.546 0.474 Pd
0.474 0.792 0.546 Pd
0.526 0.208 0.454 Pd
0.357 0.037 0.120 Pd
0.643 0.963 0.880 Pd
0.208 0.454 0.526 Pd
0.546 0.474 0.792 Pd
0.254 0.692 0.855 Sc
0.855 0.254 0.692 Sc
0.746 0.308 0.145 Sc
0.308 0.145 0.746 Sc
0.692 0.855 0.254 Sc
0.145 0.746 0.308 Sc
0.000 0.000 0.000 Ge

---

PBE-GGA ErPuAu, relaxed; N(E_F) = 8.66 states/eV/cell; space-group type = P3m1, No. 156; relative energy among the computed polymorphs = 13.1 kJ per mole of atoms; DFT formation energy = -0.21 eV per atom
1.0
-1.146 -2.573 -1.980
-1.295 -2.562 4.078
-3.268 3.101 -2.139
Er Au Pu
1 1 1
direct
0.281 0.333 0.667 Er
0.019 0.000 0.000 Au
0.701 0.667 0.333 Pu

---

PBE-GGA Mn7P, relaxed; N(E_F) = 8.38 states/eV/cell; space-group type = Fm-3m, No. 225; DFT formation energy = -0.05 eV per atom
1.0
0.000 3.565 3.565
3.565 0.000 3.565
3.565 3.565 0.000
Mn P
7 1
direct
0.000 0.500 0.500 Mn
0.500 0.000 0.500 Mn
0.500 0.000 0.000 Mn
0.500 0.500 0.000 Mn
0.500 0.500 0.500 Mn
0.000 0.500 0.000 Mn
0.000 0.000 0.500 Mn
0.000 0.000 0.000 P

---

PBE-GGA CuSb2P, relaxed; N(E_F) = 2.20 states/eV/cell; uncorrected formation energy = 160 meV per atom; space-group type = C2/m, No. 12
1.0
-3.507 1.344 0.783
-1.283 -0.005 3.615
0.898 6.459 2.372
P Sb Cu
1 2 1
direct
0.250 0.250 0.250 P
0.003 0.003 0.991 Sb
0.497 0.497 0.509 Sb
0.750 0.750 0.750 Cu

---

PBE-GGA TbZnCuAu, relaxed; N(E_F) = 3.07 states/eV/cell; space-group type = F-43m, No. 216; DFT formation energy = -0.40 eV per atom
1.0
-3.183 2.592 2.363
-2.469 -1.938 3.547
0.858 1.304 4.472
Cu Zn Au Tb
1 1 1 1
direct
0.000 0.000 0.000 Cu
0.250 0.250 0.250 Zn
0.500 0.500 0.500 Au
0.750 0.750 0.750 Tb

---

PBE-GGA CuAs2S6, relaxed; N(E_F) = 14.24 states/eV/cell; uncorrected formation energy = 108 meV per atom; space-group type = C2/c, No. 15
1.0
5.923 0.375 0.363
2.177 8.665 -0.584
2.177 -0.303 8.679
Cu S As
2 12 4
direct
0.750 0.794 0.206 Cu
0.250 0.206 0.794 Cu
0.394 0.403 0.848 S
0.606 0.597 0.152 S
0.897 0.582 0.716 S
0.577 0.002 0.819 S
0.397 0.716 0.582 S
0.423 0.998 0.181 S
0.106 0.152 0.597 S
0.077 0.819 0.002 S
0.103 0.418 0.284 S
0.894 0.848 0.403 S
0.923 0.181 0.998 S
0.603 0.284 0.418 S
0.810 0.368 0.194 As
0.190 0.632 0.806 As
0.310 0.194 0.368 As
0.690 0.806 0.632 As

---

PBE-GGA K2SiTc, relaxed; N(E_F) = 5.51 states/eV/cell; uncorrected formation energy = 368 meV per atom; space-group type = Cm, No. 8
1.0
4.135 -0.012 0.002
2.090 3.568 0.002
1.927 1.101 9.540
K Tc Si
2 1 1
direct
0.792 0.792 0.642 K
0.958 0.958 0.108 K
0.208 0.208 0.375 Tc
0.541 0.541 0.375 Si

---

PBE-GGA K2ReHg, relaxed; N(E_F) = 2.74 states/eV/cell; space-group type = R-3m, No. 166; DFT formation energy = 1.02 eV per atom
1.0
12.130 -0.017 -0.010
11.751 3.010 -0.010
11.751 1.473 2.625
K Re Hg
2 1 1
direct
0.504 0.504 0.504 K
0.996 0.996 0.996 K
0.250 0.250 0.250 Re
0.750 0.750 0.750 Hg

---

Number 1: electronic total energy -8.791 eV per atom. Number 2: electronic total energy -3.076 eV per atom. Number 3: electronic total energy -2.990 eV per atom. Number 4: electronic total energy -2.706 eV per atom. Number 5: electronic total energy -3.762 eV per atom. Number 6: electronic total energy -7.312 eV per atom. Number 7: electronic total energy -4.685 eV per atom. Number 8: electronic total energy -7.822 eV per atom. Number 9: electronic total energy -4.794 eV per atom. Number 10: electronic total energy -5.311 eV per atom. Number 11: electronic total energy -2.991 eV per atom. Number 12: electronic total energy -2.148 eV per atom. Number 13: electronic total energy -6.273 eV per atom. Number 14: electronic total energy -7.605 eV per atom. Number 15: electronic total energy -8.753 eV per atom. Number 16: electronic total energy -4.278 eV per atom. Number 17: electronic total energy -3.715 eV per atom. Number 18: electronic total energy -4.132 eV per atom. Number 19: electronic total energy -4.128 eV per atom. Number 20: electronic total energy -2.718 eV per atom.